{"formula": "HoBi2Rh", "functional": "PBE", "state": "relaxed", "lattice": [[-3.751, 1.574, -2.146], [-1.236, -4.315, -1.005], [-2.371, 0.869, 9.711]], "species": ["Rh", "Rh", "Bi", "Bi", "Bi", "Bi", "Ho", "Ho"], "fractional_positions": [[0.250, 0.750, 0.500], [0.750, 0.250, 0.500], [0.000, 0.500, 0.000], [0.500, 0.000, 0.000], [0.335, 0.335, 0.670], [0.665, 0.665, 0.330], [0.143, 0.143, 0.286], [0.857, 0.857, 0.714]], "ef_ev_per_atom": -0.523, "energy_ev_per_atom": -5.45, "volume_a3_per_cell": 201}